(1)
BaBrCl2: relaxed, GGA-PBEsol.

Unit cell a=4.998 b=5.536 c=4.997 alpha=116.82 beta=90.00 gamma=116.83
Fractional coordinates of all 4 atoms:
Cl1 0.250 0.500 0.250
Cl2 0.750 0.500 0.750
Br1 0.000 0.000 0.500
Ba1 0.500 0.000 0.000

Summary:
crystal system	tetragonal
VASP energy	-14.45	eV/cell
formation energy (no corrections)	-1.60	eV/atom
energy above the most stable polymorph in this dataset	106	meV/atom
spin magnetization	1.0	μB/cell

***

(2)
KFe3Se: relaxed, GGA-PBEsol.

Unit cell a=4.530 b=4.530 c=4.530 alpha=90.00 beta=90.00 gamma=90.00
Fractional coordinates of all 5 atoms:
Se1 0.000 0.000 0.000
Fe1 0.500 0.000 0.000
K1 0.500 0.500 0.500
Fe2 0.000 0.000 0.500
Fe3 0.000 0.500 0.000

Summary:
crystal system	cubic
VASP energy	-27.65	eV/cell
formation energy (no corrections)	0.85	eV/atom
spin magnetization	7.0	μB/cell

***

(3)
YTeCl3: relaxed, GGA-PBEsol.

Unit cell a=5.248 b=5.248 c=5.248 alpha=90.00 beta=90.00 gamma=90.00
Fractional coordinates of all 5 atoms:
Cl1 0.500 0.000 0.000
Y1 0.000 0.000 0.000
Te1 0.500 0.500 0.500
Cl2 0.000 0.500 0.000
Cl3 0.000 0.000 0.500

Summary:
crystal system	cubic
VASP energy	-22.64	eV/cell
formation energy (no corrections)	-1.25	eV/atom
spin magnetization	2.0	μB/cell

***

(4)
BaLi2ReAg: relaxed, GGA-PBEsol.

Unit cell a=5.045 b=5.045 c=5.471 alpha=90.00 beta=90.00 gamma=90.00
Fractional coordinates of all 5 atoms:
Li1 0.000 0.500 0.000
Li2 0.500 0.000 0.000
Ba1 0.000 0.000 0.500
Ag1 0.500 0.500 0.500
Re1 0.000 0.000 0.000

Summary:
crystal system	tetragonal
VASP energy	-16.67	eV/cell
spin magnetization	1.4	μB/cell

***

(5)
KVP2S7: relaxed, GGA-PBEsol.

Unit cell a=6.393 b=6.393 c=6.296 alpha=95.73 beta=95.73 gamma=96.28
Fractional coordinates of all 11 atoms:
S1 0.461 0.814 0.230
V1 0.501 0.499 0.000
S2 0.011 0.989 0.000
S3 0.476 0.145 0.820
S4 0.373 0.319 0.289
S5 0.186 0.539 0.770
S6 0.681 0.627 0.711
P1 0.348 0.052 0.082
K1 0.887 0.113 0.500
S7 0.855 0.524 0.180
P2 0.948 0.652 0.918

Summary:
crystal system	monoclinic
VASP energy	-59.53	eV/cell
formation energy (no corrections)	-0.59	eV/atom
spin magnetization	2.0	μB/cell

***

(6)
AlAs2Ir: relaxed, GGA-PBEsol.

Unit cell a=2.968 b=4.563 c=4.846 alpha=106.69 beta=90.00 gamma=90.00
Fractional coordinates of all 4 atoms:
As1 0.500 0.500 0.000
Al1 0.000 0.500 0.500
Ir1 0.500 0.000 0.500
As2 0.000 0.000 0.000

Summary:
crystal system	monoclinic
VASP energy	-23.87	eV/cell
spin magnetization	0.0	μB/cell